This record from Alexandria describes crystalline TlCrF3 at its relaxed geometry. The functional is GGA+U.

a = 4.6298 Å, b = 4.6298 Å, c = 4.6298 Å
α = 90.00°, β = 90.00°, γ = 90.00°
Fractional coordinates of all 5 atoms:
Tl 0.0000 0.0000 0.0000
Cr 0.5000 0.5000 0.5000
F 0.0000 0.5000 0.0000
F 0.5000 0.0000 0.0000
F 0.0000 0.0000 0.5000

Space-group type: No. 221
Total moment (Bohr magnetons per cell): 4.97
Density (kg/m3): 5244
VASP energy (eV/atom): -4.42